# 1
## CsHgSe (PBE)

Data for crystalline CsHgSe at its relaxed geometry.

## Properties
E_form (uncorrected), eV per atom: -0.623
Energy above the most stable polymorph in this dataset, meV per atom: 82
Calculated total energy, Ry per atom: -0.1595
Theoretical density, g cm⁻³: 5.32

Cell lengths 5.5355, 5.0127, 18.7208 Å; angles 90.00, 97.42, 90.00 degrees
With the nearest neighbours (Å) after each atom.
Positions (direct):
Cs1 0.3528 0.0000 0.5904  6 Se 3.60-4.01, 1 Cs 3.94
Cs2 0.6472 0.0000 0.4096  6 Se 3.60-4.01, 1 Cs 3.94
Cs3 0.3528 0.5000 0.0904  6 Se 3.60-4.01, 1 Cs 3.94
Cs4 0.6472 0.5000 0.9096  6 Se 3.60-4.01, 1 Cs 3.94
Hg1 0.1398 0.0000 0.7912  1 Se 2.95, 2 Hg 3.23
Hg2 0.8602 0.0000 0.2088  1 Se 2.95, 2 Hg 3.23
Hg3 0.1398 0.5000 0.2912  1 Se 2.95, 2 Hg 3.23
Hg4 0.8602 0.5000 0.7088  1 Se 2.95, 2 Hg 3.23
Se1 0.8874 0.0000 0.0526  1 Se 2.46
Se2 0.1126 0.0000 0.9474  1 Se 2.46
Se3 0.8874 0.5000 0.5526  1 Se 2.46
Se4 0.1126 0.5000 0.4474  1 Se 2.46


# 2
## CsSiHg2Se (PBE)

Data for crystalline CsSiHg2Se at its relaxed geometry.

## Properties
E_form (uncorrected), eV per atom: -0.217
Calculated total energy, Ry per atom: -0.1683
Theoretical density, g cm⁻³: 7.01

Cell lengths 5.3260, 5.3260, 5.3535 Å; angles 90.00, 90.00, 90.00 degrees
With the nearest neighbours (Å) after each atom.
Positions (direct):
Cs1 0.5000 0.5000 0.5000  4 Se 3.77, 8 Hg 3.78
Si1 0.0000 0.0000 0.0000  4 Hg 2.66, 2 Se 2.68
Hg1 0.0000 0.5000 0.0000  2 Si 2.66
Hg2 0.5000 0.0000 0.0000  2 Si 2.66
Se1 0.0000 0.0000 0.5000  2 Si 2.68


# 3
## Cs2SnHg2Se4 (PBE)

Data for crystalline Cs2SnHg2Se4 at its relaxed geometry.

## Properties
E_form (uncorrected), eV per atom: -0.620
Calculated total energy, Ry per atom: -0.2109
Theoretical density, g cm⁻³: 5.99

Cell lengths 4.5214, 8.4444, 8.7272 Å; angles 107.88, 105.01, 90.00 degrees
With the nearest neighbours (Å) after each atom.
Positions (direct):
Cs1 0.1297 0.5567 0.2594  7 Se 3.73-3.81, 2 Hg 4.10, 1 Cs 4.17
Cs2 0.8703 0.4433 0.7406  7 Se 3.73-3.81, 2 Hg 4.10, 1 Cs 4.17
Sn1 0.0000 0.0000 0.0000  6 Se 3.09-3.24
Hg1 0.6627 0.9780 0.3255  3 Se 2.62-2.75
Hg2 0.3373 0.0220 0.6745  3 Se 2.62-2.75
Se1 0.2015 0.1724 0.4031  3 Hg 2.75-2.95
Se2 0.7985 0.8276 0.5969  3 Hg 2.75-2.95
Se3 0.5123 0.7586 0.0246  1 Hg 2.62
Se4 0.4877 0.2414 0.9754  1 Hg 2.62


Q: Which of these has the highest E_form (uncorrected)?
A: CsSiHg2Se


Q: What is the formula in the first record?
A: CsHgSe


Q: The highest E_form (uncorrected) belongs to which entry?
A: CsSiHg2Se